[1]
LiNdAu | PBE | optimized geometry

abc: 4.8652 4.8652 4.8652
angles: 60.00 60.00 60.00
With the nearest neighbours (Å) after each atom.
Fractional positions:
1 Li 0.0000 0.0000 0.0000  4 Au 2.98
2 Nd 0.5000 0.5000 0.5000  4 Au 2.98
3 Au 0.7500 0.7500 0.7500  4 Nd 2.98, 4 Li 2.98

Results
energy relative to the lowest polymorph listed for this composition = 37 kJ/mol of formula units
M_tot = 0.0 μB per formula unit
mass density = 7.100 g/cm³
space group = F-43m
DFT formation energy = -402 meV/atom


[2]
Tm3MnTl3S8 | PBE | optimized geometry

abc: 8.8298 8.8298 8.8298
angles: 51.65 51.65 51.65
With the nearest neighbours (Å) after each atom.
Fractional positions:
1 Tm 0.0000 0.5000 0.5000  6 S 2.68-2.71
2 Tm 0.5000 0.0000 0.5000  6 S 2.68-2.71
3 Tm 0.5000 0.5000 0.0000  6 S 2.68-2.71
4 Mn 0.0000 0.0000 0.0000  6 S 2.44
5 Tl 0.0000 0.0000 0.5000  6 S 3.21-3.23
6 Tl 0.0000 0.5000 0.0000  6 S 3.21-3.23
7 Tl 0.5000 0.0000 0.0000  6 S 3.21-3.23
8 S 0.2109 0.2109 0.7592  1 Mn 2.44, 2 Tm 2.71
9 S 0.2109 0.7592 0.2109  1 Mn 2.44, 2 Tm 2.71
10 S 0.2408 0.7891 0.7891  1 Mn 2.44, 2 Tm 2.71
11 S 0.2678 0.2678 0.2678  3 Tm 2.68
12 S 0.7322 0.7322 0.7322  3 Tm 2.68
13 S 0.7592 0.2109 0.2109  1 Mn 2.44, 2 Tm 2.71
14 S 0.7891 0.2408 0.7891  1 Mn 2.44, 2 Tm 2.71
15 S 0.7891 0.7891 0.2408  1 Mn 2.44, 2 Tm 2.71

Results
formation energy from raw total energies = -1238 meV per atom
M_tot = 3.0 μB per formula unit
mass density = 6.077 g/cm³
space group = R-3m


[3]
Ce2Al4InAu3 | PBE | optimized geometry

abc: 4.3896 4.3896 10.8993
angles: 90.00 90.00 90.00
With the nearest neighbours (Å) after each atom.
Fractional positions:
1 Ce 0.0000 0.5000 0.2440  8 Al 3.33-3.45, 6 Au 3.36-3.55, 2 In 3.55
2 Ce 0.5000 0.0000 0.7560  8 Al 3.33-3.45, 6 Au 3.36-3.55, 2 In 3.55
3 Al 0.0000 0.0000 0.0000  4 Au 2.59
4 Al 0.0000 0.5000 0.6464  3 Au 2.48-2.71, 2 In 2.71
5 Al 0.5000 0.0000 0.3536  3 Au 2.48-2.71, 2 In 2.71
6 Al 0.5000 0.5000 0.0000  4 Au 2.59
7 In 0.0000 0.0000 0.5000  4 Al 2.71
8 Au 0.0000 0.5000 0.8737  5 Al 2.48-2.59
9 Au 0.5000 0.0000 0.1263  5 Al 2.48-2.59
10 Au 0.5000 0.5000 0.5000  4 Al 2.71

Results
M_tot = 1.3 μB per formula unit
mass density = 8.649 g/cm³
space group = P-4m2
DFT formation energy = -603 meV/atom


[4]
ZnCoTe2 | PBE | optimized geometry

abc: 7.1564 7.1564 7.1564
angles: 149.11 149.11 44.25
With the nearest neighbours (Å) after each atom.
Fractional positions:
1 Zn 0.0000 0.0000 0.0000  4 Te 2.70
2 Co 0.2500 0.7500 0.5000  4 Te 2.70
3 Te 0.5000 0.5000 0.0000  4 Zn 2.70
4 Te 0.7500 0.2500 0.5000  4 Co 2.70

Results
formation energy from raw total energies = 401 meV per atom
M_tot = 2.0 μB per formula unit
mass density = 6.542 g/cm³
space group = I-4m2


[5]
FePd2I8 | PBE | optimized geometry

abc: 7.7596 7.7596 8.3431
angles: 100.95 100.95 83.91
With the nearest neighbours (Å) after each atom.
Fractional positions:
1 Fe 0.0000 0.0000 0.0000  4 I 2.62
2 Pd 0.1261 0.1261 0.3805  5 I 2.65-2.79
3 Pd 0.8739 0.8739 0.6195  5 I 2.65-2.79
4 I 0.0287 0.6700 0.8578  1 Fe 2.62, 1 Pd 2.79
5 I 0.1169 0.1169 0.6998  2 Pd 2.69-2.71
6 I 0.3300 0.9713 0.1422  1 Fe 2.62, 1 Pd 2.79
7 I 0.3610 0.3610 0.5113  1 Pd 2.65
8 I 0.6390 0.6390 0.4887  1 Pd 2.65
9 I 0.6700 0.0287 0.8578  1 Fe 2.62, 1 Pd 2.79
10 I 0.8831 0.8831 0.3002  2 Pd 2.69-2.71
11 I 0.9713 0.3300 0.1422  1 Fe 2.62, 1 Pd 2.79

Results
formation energy from raw total energies = -30 meV per atom
M_tot = 3.7 μB per formula unit
mass density = 4.415 g/cm³
space group = C2/m


[6]
Cs2RbIrI6 | PBE | optimized geometry

abc: 8.7376 8.7376 8.7376
angles: 60.00 60.00 60.00
With the nearest neighbours (Å) after each atom.
Fractional positions:
1 Cs 0.2500 0.2500 0.2500  12 I 4.39
2 Cs 0.7500 0.7500 0.7500  12 I 4.39
3 Rb 0.0000 0.0000 0.0000  6 I 3.48
4 Ir 0.5000 0.5000 0.5000  6 I 2.70
5 I 0.2815 0.2815 0.7185  1 Ir 2.70
6 I 0.2815 0.7185 0.2815  1 Ir 2.70
7 I 0.2815 0.7185 0.7185  1 Ir 2.70
8 I 0.7185 0.2815 0.2815  1 Ir 2.70
9 I 0.7185 0.2815 0.7185  1 Ir 2.70
10 I 0.7185 0.7185 0.2815  1 Ir 2.70

Results
formation energy from raw total energies = -900 meV per atom
M_tot = 0.0 μB per formula unit
mass density = 4.594 g/cm³
space group = Fm-3m


[7]
Ba2MoAu | PBE | optimized geometry

abc: 7.1631 7.1631 7.1631
angles: 102.98 102.98 123.42
With the nearest neighbours (Å) after each atom.
Fractional positions:
1 Ba 0.1116 0.6250 0.9866  2 Au 3.19, 2 Mo 3.35, 2 Ba 3.40
2 Ba 0.3750 0.3616 0.4866  2 Au 3.19, 2 Mo 3.35, 2 Ba 3.40
3 Ba 0.6384 0.1250 0.0134  2 Au 3.19, 2 Mo 3.35, 2 Ba 3.40
4 Ba 0.8750 0.8884 0.5134  2 Au 3.19, 2 Mo 3.35, 2 Ba 3.40
5 Mo 0.2500 0.7500 0.5000  4 Ba 3.35, 2 Au 3.39
6 Mo 0.5000 0.5000 0.0000  4 Ba 3.35, 2 Au 3.39
7 Au 0.0000 0.0000 0.0000  4 Ba 3.19, 2 Mo 3.39
8 Au 0.7500 0.2500 0.5000  4 Ba 3.19, 2 Mo 3.39

Results
energy relative to the lowest polymorph listed for this composition = 142 kJ/mol of formula units
M_tot = 3.3 μB per formula unit
mass density = 6.978 g/cm³
space group = I-42d
DFT formation energy = 727 meV/atom


[8]
Na5Cd6Pb | PBE | optimized geometry

abc: 4.5247 8.7744 8.7884
angles: 69.23 75.24 75.20
With the nearest neighbours (Å) after each atom.
Fractional positions:
1 Na 0.0000 0.0000 0.0000  4 Na 3.21-3.22, 8 Cd 3.33-3.37
2 Na 0.3332 0.1661 0.1664  4 Na 3.21-3.24, 8 Cd 3.34-3.41
3 Na 0.3345 0.6656 0.6655  2 Pb 3.20-3.21, 2 Na 3.23-3.24, 8 Cd 3.37-3.42
4 Na 0.6655 0.3344 0.3345  2 Pb 3.20-3.21, 2 Na 3.23-3.24, 8 Cd 3.37-3.42
5 Na 0.6668 0.8339 0.8336  4 Na 3.21-3.24, 8 Cd 3.34-3.41
6 Cd 0.1695 0.0797 0.5862  4 Cd 3.20-3.24, 7 Na 3.34-3.41, 1 Pb 3.41
7 Cd 0.1699 0.5854 0.0795  4 Cd 3.19-3.23, 7 Na 3.34-3.40, 1 Pb 3.42
8 Cd 0.4985 0.2456 0.7550  4 Cd 3.21-3.24, 6 Na 3.33-3.42, 2 Pb 3.40-3.41
9 Cd 0.5015 0.7544 0.2450  4 Cd 3.21-3.24, 6 Na 3.33-3.42, 2 Pb 3.40-3.41
10 Cd 0.8301 0.4146 0.9205  4 Cd 3.19-3.23, 7 Na 3.34-3.40, 1 Pb 3.42
11 Cd 0.8305 0.9203 0.4138  4 Cd 3.20-3.24, 7 Na 3.34-3.41, 1 Pb 3.41
12 Pb 0.0000 0.5000 0.5000  4 Na 3.20-3.21, 8 Cd 3.40-3.42

Results
M_tot = 0.0 μB per formula unit
mass density = 5.336 g/cm³
space group = P-1
DFT formation energy = -73 meV/atom


[9]
TbDy3Th2 | PBE | optimized geometry

abc: 6.6786 6.6786 11.3393
angles: 90.00 90.00 117.59
With the nearest neighbours (Å) after each atom.
Fractional positions:
1 Tb 0.0005 0.9995 0.7500  4 Th 3.32, 6 Dy 3.34-3.46
2 Tb 0.9995 0.0005 0.2500  4 Th 3.32, 6 Dy 3.34-3.46
3 Dy 0.0003 0.4995 0.7500  2 Tb 3.34, 4 Dy 3.34-3.46
4 Dy 0.9997 0.5005 0.2500  2 Tb 3.34, 4 Dy 3.34-3.46
5 Dy 0.4995 0.0003 0.2500  2 Tb 3.34, 4 Dy 3.34-3.46
6 Dy 0.4997 0.5003 0.2500  4 Th 3.32, 4 Dy 3.34, 2 Tb 3.46
7 Dy 0.5003 0.4997 0.7500  4 Th 3.32, 4 Dy 3.34, 2 Tb 3.46
8 Dy 0.5005 0.9997 0.7500  2 Tb 3.34, 4 Dy 3.34-3.46
9 Th 0.2511 0.2511 0.0000  2 Dy 3.32, 2 Tb 3.32, 2 Th 3.45-3.48
10 Th 0.2511 0.2511 0.5000  2 Dy 3.32, 2 Tb 3.32, 2 Th 3.45-3.48
11 Th 0.7489 0.7489 0.0000  2 Dy 3.32, 2 Tb 3.32, 2 Th 3.45-3.48
12 Th 0.7489 0.7489 0.5000  2 Dy 3.32, 2 Tb 3.32, 2 Th 3.45-3.48

Results
energy relative to the lowest polymorph listed for this composition = 313 kJ/mol of formula units
M_tot = 0.0 μB per formula unit
mass density = 8.228 g/cm³
space group = Cmcm
DFT formation energy = 569 meV/atom


[10]
Np2SeS | PBE | optimized geometry

abc: 3.9655 5.6499 8.0566
angles: 90.00 90.00 90.00
With the nearest neighbours (Å) after each atom.
Fractional positions:
1 Np 0.2500 0.2500 0.1105  4 S 2.74-2.83, 2 Se 2.92
2 Np 0.2500 0.2500 0.6350  2 S 2.78, 4 Se 2.83-2.88
3 Np 0.7500 0.7500 0.3650  2 S 2.78, 4 Se 2.83-2.88
4 Np 0.7500 0.7500 0.8895  4 S 2.74-2.83, 2 Se 2.92
5 Se 0.2500 0.7500 0.6239  6 Np 2.83-2.92
6 Se 0.7500 0.2500 0.3761  6 Np 2.83-2.92
7 S 0.2500 0.7500 0.1239  6 Np 2.74-2.83
8 S 0.7500 0.2500 0.8761  6 Np 2.74-2.83

Results
formation energy from raw total energies = -1182 meV per atom
energy relative to the lowest polymorph listed for this composition = 10 kJ/mol of formula units
M_tot = 0.0 μB per formula unit
mass density = 10.764 g/cm³
space group = Pmmn


[11]
AcNd2Sm2 | PBE | optimized geometry

abc: 3.7394 9.1156 11.1214
angles: 105.76 90.07 90.08
With the nearest neighbours (Å) after each atom.
Fractional positions:
1 Ac 0.0000 0.0000 0.0000  2 Nd 3.71, 2 Ac 3.74, 8 Sm 3.75
2 Ac 0.5000 0.5000 0.5000  2 Sm 3.71, 2 Ac 3.74, 8 Nd 3.76-3.77
3 Nd 0.9996 0.1959 0.6019  6 Sm 3.66-3.70, 4 Nd 3.67-3.76, 2 Ac 3.76
4 Nd 0.0004 0.8041 0.3981  6 Sm 3.66-3.70, 4 Nd 3.67-3.76, 2 Ac 3.76
5 Nd 0.0005 0.5989 0.8054  6 Sm 3.66-3.79, 3 Ac 3.71-3.77, 3 Nd 3.74-3.76
6 Nd 0.9995 0.4011 0.1946  6 Sm 3.66-3.79, 3 Ac 3.71-3.77, 3 Nd 3.74-3.76
7 Sm 0.4993 0.9003 0.6961  6 Nd 3.66-3.79, 3 Ac 3.71-3.75, 3 Sm 3.74
8 Sm 0.5004 0.3023 0.8979  6 Nd 3.66-3.69, 4 Sm 3.70-3.74, 2 Ac 3.75
9 Sm 0.4996 0.6977 0.1021  6 Nd 3.66-3.69, 4 Sm 3.70-3.74, 2 Ac 3.75
10 Sm 0.5007 0.0997 0.3039  6 Nd 3.66-3.79, 3 Ac 3.71-3.75, 3 Sm 3.74

Results
energy relative to the lowest polymorph listed for this composition = 0 kJ/mol of formula units
M_tot = 0.0 μB per formula unit
mass density = 7.430 g/cm³
space group = P-1
DFT formation energy = 28 meV/atom


[12]
Na3AcAu8 | PBE | optimized geometry

abc: 5.5988 5.5988 9.7071
angles: 90.00 90.00 120.00
With the nearest neighbours (Å) after each atom.
Fractional positions:
1 Na 0.0000 0.0000 0.0000  12 Au 3.27-3.39, 4 Na 3.33-3.36
2 Na 0.0000 0.0000 0.3428  9 Au 3.14-3.38, 1 Na 3.33
3 Na 0.3333 0.6667 0.9063  12 Au 3.24-3.43, 3 Na 3.36
4 Ac 0.3333 0.6667 0.5111  12 Au 3.29-3.45, 3 Na 3.62
5 Au 0.0023 0.5011 0.1961  6 Au 2.78-2.92
6 Au 0.3293 0.1647 0.7028  6 Au 2.77-2.98
7 Au 0.4989 0.5011 0.1961  6 Au 2.78-2.92
8 Au 0.4989 0.9977 0.1961  6 Au 2.78-2.92
9 Au 0.6667 0.3333 0.4462  6 Au 2.92-2.98
10 Au 0.6667 0.3333 0.9489  6 Au 2.90
11 Au 0.8353 0.1647 0.7028  6 Au 2.77-2.98
12 Au 0.8353 0.6707 0.7028  6 Au 2.77-2.98

Results
M_tot = 0.0 μB per formula unit
mass density = 11.794 g/cm³
space group = P3m1
DFT formation energy = -438 meV/atom


What did the tenth record say?
Np2SeS | PBE | optimized geometry

abc: 3.9655 5.6499 8.0566
angles: 90.00 90.00 90.00
With the nearest neighbours (Å) after each atom.
Fractional positions:
1 Np 0.2500 0.2500 0.1105  4 S 2.74-2.83, 2 Se 2.92
2 Np 0.2500 0.2500 0.6350  2 S 2.78, 4 Se 2.83-2.88
3 Np 0.7500 0.7500 0.3650  2 S 2.78, 4 Se 2.83-2.88
4 Np 0.7500 0.7500 0.8895  4 S 2.74-2.83, 2 Se 2.92
5 Se 0.2500 0.7500 0.6239  6 Np 2.83-2.92
6 Se 0.7500 0.2500 0.3761  6 Np 2.83-2.92
7 S 0.2500 0.7500 0.1239  6 Np 2.74-2.83
8 S 0.7500 0.2500 0.8761  6 Np 2.74-2.83

Results
formation energy from raw total energies = -1182 meV per atom
energy relative to the lowest polymorph listed for this composition = 10 kJ/mol of formula units
M_tot = 0.0 μB per formula unit
mass density = 10.764 g/cm³
space group = Pmmn